Entry 1:
Computed, not measured: Sr2SmNpN4 after structural relaxation at the PBE level of DFT.

Geometry as CIF:
```
data_Sr2SmNpN4
_cell_length_a 6.1770
_cell_length_b 3.6167
_cell_length_c 6.3384
_cell_angle_alpha 90.00
_cell_angle_beta 108.77
_cell_angle_gamma 90.00
_space_group_name_H-M_alt 'P 1'
_space_group_IT_number 1
loop_
_space_group_symop_operation_xyz
'x,y,z'
loop_
_atom_site_label
_atom_site_type_symbol
_atom_site_fract_x
_atom_site_fract_y
_atom_site_fract_z
Sr1 Sr 0.0000 0.0000 0.0000
Sr2 Sr 0.5000 0.5000 0.0000
Sm1 Sm 0.0000 0.5000 0.5000
Np1 Np 0.5000 0.0000 0.5000
N1 N 0.2713 0.0000 0.6984
N2 N 0.2788 0.5000 0.2937
N3 N 0.7212 0.5000 0.7063
N4 N 0.7287 0.0000 0.3016
```

=====

Entry 2:
Computed, not measured: Sm3Np3TaN8 after structural relaxation at the PBE level of DFT.

Geometry as CIF:
```
data_Sm3Np3TaN8
_cell_length_a 6.9470
_cell_length_b 6.9470
_cell_length_c 6.9470
_cell_angle_alpha 58.72
_cell_angle_beta 58.72
_cell_angle_gamma 58.72
_space_group_name_H-M_alt 'P 1'
_space_group_IT_number 1
loop_
_space_group_symop_operation_xyz
'x,y,z'
loop_
_atom_site_label
_atom_site_type_symbol
_atom_site_fract_x
_atom_site_fract_y
_atom_site_fract_z
Sm1 Sm 0.0000 0.5000 0.5000
Sm2 Sm 0.5000 0.0000 0.5000
Sm3 Sm 0.5000 0.5000 0.0000
Np1 Np 0.0000 0.0000 0.5000
Np2 Np 0.0000 0.5000 0.0000
Np3 Np 0.5000 0.0000 0.0000
Ta1 Ta 0.5000 0.5000 0.5000
N1 N 0.2438 0.2438 0.2438
N2 N 0.2591 0.7221 0.7221
N3 N 0.2779 0.2779 0.7409
N4 N 0.2779 0.7409 0.2779
N5 N 0.7221 0.2591 0.7221
N6 N 0.7221 0.7221 0.2591
N7 N 0.7409 0.2779 0.2779
N8 N 0.7562 0.7562 0.7562
```

=====

Entry 3:
Computed, not measured: Tb2SmNpN4 after structural relaxation at the PBE level of DFT.

Geometry as CIF:
```
data_Tb2SmNpN4
_cell_length_a 6.0400
_cell_length_b 3.5018
_cell_length_c 6.0541
_cell_angle_alpha 90.00
_cell_angle_beta 109.02
_cell_angle_gamma 90.00
_space_group_name_H-M_alt 'P 1'
_space_group_IT_number 1
loop_
_space_group_symop_operation_xyz
'x,y,z'
loop_
_atom_site_label
_atom_site_type_symbol
_atom_site_fract_x
_atom_site_fract_y
_atom_site_fract_z
Tb1 Tb 0.0000 0.0000 0.0000
Tb2 Tb 0.0000 0.5000 0.5000
Sm1 Sm 0.5000 0.0000 0.5000
Np1 Np 0.5000 0.5000 0.0000
N1 N 0.2568 0.0000 0.7621
N2 N 0.2585 0.5000 0.2320
N3 N 0.7415 0.5000 0.7680
N4 N 0.7432 0.0000 0.2379
```

=====

Entry 4:
Computed, not measured: TbSmNpN3 after structural relaxation at the PBE level of DFT.

Geometry as CIF:
```
data_TbSmNpN3
_cell_length_a 7.1754
_cell_length_b 3.5980
_cell_length_c 8.6907
_cell_angle_alpha 90.00
_cell_angle_beta 97.04
_cell_angle_gamma 90.00
_space_group_name_H-M_alt 'P 1'
_space_group_IT_number 1
loop_
_space_group_symop_operation_xyz
'x,y,z'
loop_
_atom_site_label
_atom_site_type_symbol
_atom_site_fract_x
_atom_site_fract_y
_atom_site_fract_z
Tb1 Tb 0.1257 0.2500 0.1513
Tb2 Tb 0.8743 0.7500 0.8487
Sm1 Sm 0.3390 0.7500 0.8696
Sm2 Sm 0.6610 0.2500 0.1304
Np1 Np 0.4435 0.7500 0.4063
Np2 Np 0.5565 0.2500 0.5937
N1 N 0.1097 0.2500 0.8800
N2 N 0.2788 0.2500 0.4095
N3 N 0.3991 0.7500 0.1503
N4 N 0.6009 0.2500 0.8497
N5 N 0.7212 0.7500 0.5905
N6 N 0.8903 0.7500 0.1200
```

=====

Entry 5:
Computed, not measured: Tb2Sm3NpN6 after structural relaxation at the PBE level of DFT.

Geometry as CIF:
```
data_Tb2Sm3NpN6
_cell_length_a 6.0867
_cell_length_b 6.0867
_cell_length_c 6.1042
_cell_angle_alpha 99.57
_cell_angle_beta 99.57
_cell_angle_gamma 120.01
_space_group_name_H-M_alt 'P 1'
_space_group_IT_number 1
loop_
_space_group_symop_operation_xyz
'x,y,z'
loop_
_atom_site_label
_atom_site_type_symbol
_atom_site_fract_x
_atom_site_fract_y
_atom_site_fract_z
Tb1 Tb 0.1665 0.8335 0.0000
Tb2 Tb 0.8335 0.1665 0.0000
Sm1 Sm 0.0000 0.0000 0.5000
Sm2 Sm 0.3321 0.6679 0.5000
Sm3 Sm 0.6679 0.3321 0.5000
Np1 Np 0.5000 0.5000 0.0000
N1 N 0.1084 0.4229 0.7688
N2 N 0.2632 0.2632 0.2319
N3 N 0.4229 0.1084 0.7688
N4 N 0.5771 0.8916 0.2312
N5 N 0.7368 0.7368 0.7681
N6 N 0.8916 0.5771 0.2312
```

=====

Entry 6:
Computed, not measured: SmNp2TcN4 after structural relaxation at the PBE level of DFT.

Geometry as CIF:
```
data_SmNp2TcN4
_cell_length_a 6.1021
_cell_length_b 6.1021
_cell_length_c 11.5443
_cell_angle_alpha 90.00
_cell_angle_beta 90.00
_cell_angle_gamma 148.27
_space_group_name_H-M_alt 'P 1'
_space_group_IT_number 1
loop_
_space_group_symop_operation_xyz
'x,y,z'
loop_
_atom_site_label
_atom_site_type_symbol
_atom_site_fract_x
_atom_site_fract_y
_atom_site_fract_z
Sm1 Sm 0.1123 0.8877 0.7500
Sm2 Sm 0.8877 0.1123 0.2500
Np1 Np 0.3691 0.6309 0.5500
Np2 Np 0.3691 0.6309 0.9500
Np3 Np 0.6309 0.3691 0.0500
Np4 Np 0.6309 0.3691 0.4500
Tc1 Tc 0.1494 0.8506 0.2500
Tc2 Tc 0.8506 0.1494 0.7500
N1 N 0.0000 0.0000 0.0000
N2 N 0.0000 0.0000 0.5000
N3 N 0.2702 0.7298 0.1178
N4 N 0.2702 0.7298 0.3822
N5 N 0.4599 0.5401 0.7500
N6 N 0.5401 0.4599 0.2500
N7 N 0.7298 0.2702 0.6178
N8 N 0.7298 0.2702 0.8822
```

=====

Entry 7:
Computed, not measured: Sm3Th2NpN6 after structural relaxation at the PBE level of DFT.

Geometry as CIF:
```
data_Sm3Th2NpN6
_cell_length_a 6.2273
_cell_length_b 6.2273
_cell_length_c 6.2127
_cell_angle_alpha 99.65
_cell_angle_beta 99.65
_cell_angle_gamma 119.95
_space_group_name_H-M_alt 'P 1'
_space_group_IT_number 1
loop_
_space_group_symop_operation_xyz
'x,y,z'
loop_
_atom_site_label
_atom_site_type_symbol
_atom_site_fract_x
_atom_site_fract_y
_atom_site_fract_z
Sm1 Sm 0.0000 0.0000 0.0000
Sm2 Sm 0.3347 0.6653 0.0000
Sm3 Sm 0.6653 0.3347 0.0000
Th1 Th 0.1666 0.8334 0.5000
Th2 Th 0.8334 0.1666 0.5000
Np1 Np 0.5000 0.5000 0.5000
N1 N 0.1014 0.4216 0.2645
N2 N 0.2571 0.2571 0.7379
N3 N 0.4216 0.1014 0.2645
N4 N 0.5784 0.8986 0.7355
N5 N 0.7429 0.7429 0.2621
N6 N 0.8986 0.5784 0.7355
```

=====

Entry 8:
Computed, not measured: Sm2ThNpN4 after structural relaxation at the PBE level of DFT.

Geometry as CIF:
```
data_Sm2ThNpN4
_cell_length_a 6.1874
_cell_length_b 3.5752
_cell_length_c 6.1933
_cell_angle_alpha 90.00
_cell_angle_beta 109.40
_cell_angle_gamma 90.00
_space_group_name_H-M_alt 'P 1'
_space_group_IT_number 1
loop_
_space_group_symop_operation_xyz
'x,y,z'
loop_
_atom_site_label
_atom_site_type_symbol
_atom_site_fract_x
_atom_site_fract_y
_atom_site_fract_z
Sm1 Sm 0.0000 0.0000 0.0000
Sm2 Sm 0.0000 0.5000 0.5000
Th1 Th 0.5000 0.0000 0.5000
Np1 Np 0.5000 0.5000 0.0000
N1 N 0.2629 0.5000 0.2440
N2 N 0.2688 0.0000 0.7669
N3 N 0.7312 0.0000 0.2331
N4 N 0.7371 0.5000 0.7560
```

=====

Entry 9:
Computed, not measured: SmTh2NpN4 after structural relaxation at the PBE level of DFT.

Geometry as CIF:
```
data_SmTh2NpN4
_cell_length_a 6.2134
_cell_length_b 3.5934
_cell_length_c 6.2154
_cell_angle_alpha 90.00
_cell_angle_beta 109.40
_cell_angle_gamma 90.00
_space_group_name_H-M_alt 'P 1'
_space_group_IT_number 1
loop_
_space_group_symop_operation_xyz
'x,y,z'
loop_
_atom_site_label
_atom_site_type_symbol
_atom_site_fract_x
_atom_site_fract_y
_atom_site_fract_z
Sm1 Sm 0.0000 0.0000 0.0000
Th1 Th 0.5000 0.0000 0.5000
Th2 Th 0.5000 0.5000 0.0000
Np1 Np 0.0000 0.5000 0.5000
N1 N 0.2352 0.0000 0.7352
N2 N 0.2441 0.5000 0.2612
N3 N 0.7559 0.5000 0.7388
N4 N 0.7648 0.0000 0.2648
```

=====

Entry 10:
Computed, not measured: Sm4Th3NpN8 after structural relaxation at the PBE level of DFT.

Geometry as CIF:
```
data_Sm4Th3NpN8
_cell_length_a 7.1975
_cell_length_b 7.1975
_cell_length_c 7.1975
_cell_angle_alpha 60.15
_cell_angle_beta 60.15
_cell_angle_gamma 60.15
_space_group_name_H-M_alt 'P 1'
_space_group_IT_number 1
loop_
_space_group_symop_operation_xyz
'x,y,z'
loop_
_atom_site_label
_atom_site_type_symbol
_atom_site_fract_x
_atom_site_fract_y
_atom_site_fract_z
Sm1 Sm 0.0000 0.0000 0.0000
Sm2 Sm 0.0000 0.5000 0.5000
Sm3 Sm 0.5000 0.0000 0.5000
Sm4 Sm 0.5000 0.5000 0.0000
Th1 Th 0.0000 0.0000 0.5000
Th2 Th 0.0000 0.5000 0.0000
Th3 Th 0.5000 0.0000 0.0000
Np1 Np 0.5000 0.5000 0.5000
N1 N 0.2473 0.2473 0.2473
N2 N 0.2561 0.7402 0.7402
N3 N 0.2598 0.2598 0.7439
N4 N 0.2598 0.7439 0.2598
N5 N 0.7402 0.2561 0.7402
N6 N 0.7402 0.7402 0.2561
N7 N 0.7439 0.2598 0.2598
N8 N 0.7527 0.7527 0.7527
```

=====

Entry 11:
Computed, not measured: Sm2Th3NpN6 after structural relaxation at the PBE level of DFT.

Geometry as CIF:
```
data_Sm2Th3NpN6
_cell_length_a 6.2411
_cell_length_b 6.2411
_cell_length_c 6.2327
_cell_angle_alpha 99.67
_cell_angle_beta 99.67
_cell_angle_gamma 119.91
_space_group_name_H-M_alt 'P 1'
_space_group_IT_number 1
loop_
_space_group_symop_operation_xyz
'x,y,z'
loop_
_atom_site_label
_atom_site_type_symbol
_atom_site_fract_x
_atom_site_fract_y
_atom_site_fract_z
Sm1 Sm 0.1667 0.8333 0.0000
Sm2 Sm 0.8333 0.1667 0.0000
Th1 Th 0.0000 0.0000 0.5000
Th2 Th 0.3325 0.6675 0.5000
Th3 Th 0.6675 0.3325 0.5000
Np1 Np 0.5000 0.5000 0.0000
N1 N 0.1042 0.4194 0.7580
N2 N 0.2648 0.2648 0.2496
N3 N 0.4194 0.1042 0.7580
N4 N 0.5806 0.8958 0.2420
N5 N 0.7352 0.7352 0.7504
N6 N 0.8958 0.5806 0.2420
```

=====

Entry 12:
Computed, not measured: SmNp2UN4 after structural relaxation at the PBE level of DFT.

Geometry as CIF:
```
data_SmNp2UN4
_cell_length_a 4.9296
_cell_length_b 4.9296
_cell_length_c 9.8267
_cell_angle_alpha 90.00
_cell_angle_beta 90.00
_cell_angle_gamma 90.00
_space_group_name_H-M_alt 'P 1'
_space_group_IT_number 1
loop_
_space_group_symop_operation_xyz
'x,y,z'
loop_
_atom_site_label
_atom_site_type_symbol
_atom_site_fract_x
_atom_site_fract_y
_atom_site_fract_z
Sm1 Sm 0.0000 0.0000 0.0000
Sm2 Sm 0.5000 0.5000 0.5000
Np1 Np 0.0000 0.0000 0.5000
Np2 Np 0.0000 0.5000 0.2500
Np3 Np 0.5000 0.0000 0.7500
Np4 Np 0.5000 0.5000 0.0000
U1 U 0.0000 0.5000 0.7500
U2 U 0.5000 0.0000 0.2500
N1 N 0.0000 0.0000 0.2574
N2 N 0.0000 0.0000 0.7426
N3 N 0.0000 0.5000 0.5059
N4 N 0.0000 0.5000 0.9941
N5 N 0.5000 0.0000 0.0059
N6 N 0.5000 0.0000 0.4941
N7 N 0.5000 0.5000 0.2426
N8 N 0.5000 0.5000 0.7574
```

=====

Number 1: density of states at the Fermi level 0.6077 states/eV/atom, electronic total energy -0.5803 Ry per atom. Number 2: density of states at the Fermi level 1.3668 states/eV/atom, electronic total energy -0.7341 Ry per atom. Number 3: density of states at the Fermi level 0.7587 states/eV/atom, electronic total energy -0.6619 Ry per atom. Number 4: density of states at the Fermi level 0.5040 states/eV/atom, electronic total energy -0.6570 Ry per atom. Number 5: density of states at the Fermi level 0.5153 states/eV/atom, electronic total energy -0.6394 Ry per atom. Number 6: density of states at the Fermi level 1.2260 states/eV/atom, electronic total energy -0.7513 Ry per atom. Number 7: density of states at the Fermi level 0.9429 states/eV/atom, electronic total energy -0.6698 Ry per atom. Number 8: density of states at the Fermi level 1.0722 states/eV/atom, electronic total energy -0.6835 Ry per atom. Number 9: density of states at the Fermi level 1.2349 states/eV/atom, electronic total energy -0.7082 Ry per atom. Number 10: density of states at the Fermi level 0.5300 states/eV/atom, electronic total energy -0.6636 Ry per atom. Number 11: density of states at the Fermi level 0.8599 states/eV/atom, electronic total energy -0.6863 Ry per atom. Number 12: density of states at the Fermi level 1.6793 states/eV/atom, electronic total energy -0.7816 Ry per atom.